--- a ---
First-principles (PBEsol) data for crystalline La2TlIr at its relaxed geometry, as listed in Alexandria via LeMat-Bulk.

Calculated values
- space group = P4/mmm
- ρ (kg/m3) = 10746
- crystal system = tetragonal
- volume (Å³/atom) = 26.05

Unit cell a=3.5256 b=3.5256 c=8.3841 alpha=90.00 beta=90.00 gamma=90.00
Positions (direct):
La1 0.0000 0.0000 0.2054
La2 0.0000 0.0000 0.7946
Tl1 0.5000 0.5000 0.5000
Ir1 0.5000 0.5000 0.0000

--- b ---
First-principles (PBEsol) data for crystalline La2TlIr at its relaxed geometry, as listed in Alexandria via LeMat-Bulk.

Calculated values
- space group = R3m
- ρ (kg/m3) = 9404
- crystal system = trigonal
- volume (Å³/atom) = 29.77

Unit cell a=8.9451 b=8.9451 c=8.9451 alpha=25.76 beta=25.76 gamma=25.76
Positions (direct):
La1 0.0000 0.0000 0.0000
La2 0.2080 0.2080 0.2080
Tl1 0.4500 0.4500 0.4500
Ir1 0.7277 0.7277 0.7277

--- c ---
First-principles (PBEsol) data for crystalline La2TlIr at its relaxed geometry, as listed in Alexandria via LeMat-Bulk.

Calculated values
- space group = Fm-3m
- ρ (kg/m3) = 10913
- crystal system = cubic
- volume (Å³/atom) = 25.66

Unit cell a=5.2551 b=5.2551 c=5.2551 alpha=60.00 beta=60.00 gamma=60.00
Positions (direct):
La1 0.2500 0.2500 0.2500
La2 0.7500 0.7500 0.7500
Tl1 0.0000 0.0000 0.0000
Ir1 0.5000 0.5000 0.5000

a (164 meV per atom below the next structure)

--- a ---
First-principles (PBEsol) data for crystalline La3TlIr at its relaxed geometry, as listed in Alexandria via LeMat-Bulk.

Calculated values
- space group = Cmmm
- ρ (kg/m3) = 9192
- crystal system = orthorhombic
- volume (Å³/atom) = 29.39

Unit cell a=5.8637 b=5.8637 c=8.6830 alpha=90.00 beta=90.00 gamma=100.17
Positions (direct):
La1 0.2127 0.7873 0.0000
La2 0.2644 0.2644 0.3130
La3 0.2644 0.2644 0.6870
La4 0.7356 0.7356 0.3130
La5 0.7356 0.7356 0.6870
La6 0.7873 0.2127 0.0000
Tl1 0.2392 0.7608 0.5000
Tl2 0.7608 0.2392 0.5000
Ir1 0.3084 0.3084 0.0000
Ir2 0.6916 0.6916 0.0000

--- b ---
First-principles (PBEsol) data for crystalline La3TlIr at its relaxed geometry, as listed in Alexandria via LeMat-Bulk.

Calculated values
- space group = Pm-3m
- ρ (kg/m3) = 8038
- crystal system = cubic
- volume (Å³/atom) = 33.61

Unit cell a=5.5181 b=5.5181 c=5.5181 alpha=90.00 beta=90.00 gamma=90.00
Positions (direct):
La1 0.0000 0.0000 0.5000
La2 0.0000 0.5000 0.0000
La3 0.5000 0.0000 0.0000
Tl1 0.5000 0.5000 0.5000
Ir1 0.0000 0.0000 0.0000

a (158 meV per atom below the next structure)

--- a ---
First-principles (PBEsol) data for crystalline La2IrW at its relaxed geometry, as listed in Alexandria via LeMat-Bulk.

Calculated values
- space group = Amm2
- ρ (kg/m3) = 10553
- crystal system = orthorhombic
- volume (Å³/atom) = 25.72

Unit cell a=4.2240 b=5.7578 c=5.7578 alpha=47.29 beta=90.00 gamma=90.00
Positions (direct):
La1 0.0000 0.0000 0.0000
La2 0.5000 0.3034 0.3034
Ir1 0.5000 0.5915 0.5915
W1 0.0000 0.7047 0.7047

--- b ---
First-principles (PBEsol) data for crystalline La2IrW at its relaxed geometry, as listed in Alexandria via LeMat-Bulk.

Calculated values
- space group = Pmmm
- ρ (kg/m3) = 12140
- crystal system = orthorhombic
- volume (Å³/atom) = 22.36

Unit cell a=3.1746 b=3.9053 c=7.2141 alpha=90.00 beta=90.00 gamma=90.00
Positions (direct):
La1 0.0000 0.0000 0.2355
La2 0.0000 0.0000 0.7645
Ir1 0.5000 0.5000 0.0000
W1 0.5000 0.5000 0.5000

a (309 meV per atom below the next structure)